GGA-PBEsol TlGeRu2, relaxed; calculated volume = 15.35 Å³ per atom; calculated formation energy = 278 meV per atom
1.0
6.263 0.000 0.000
0.000 6.263 0.000
0.000 0.000 6.263
Tl Ge Ru
4 4 8
Direct
0.000 0.000 0.000 Tl
0.000 0.500 0.500 Tl
0.500 0.000 0.500 Tl
0.500 0.500 0.000 Tl
0.000 0.000 0.500 Ge
0.000 0.500 0.000 Ge
0.500 0.000 0.000 Ge
0.500 0.500 0.500 Ge
0.250 0.250 0.250 Ru
0.250 0.250 0.750 Ru
0.250 0.750 0.250 Ru
0.250 0.750 0.750 Ru
0.750 0.250 0.250 Ru
0.750 0.250 0.750 Ru
0.750 0.750 0.250 Ru
0.750 0.750 0.750 Ru